Material: KBa4Ir
Method: DFT, GGA-PBE
State: relaxed

POSCAR file:
```
KBa4Ir
1.0
0.000 5.141 5.141
5.141 0.000 5.141
5.141 5.141 0.000
K Ba Ir
1 4 1
Direct
0.000 0.000 0.000
0.133 0.622 0.622
0.622 0.133 0.622
0.622 0.622 0.133
0.622 0.622 0.622
0.250 0.250 0.250
```

Results
Space-group type = F-43m, No. 216
Energy = -2.053 eV/atom
Volume = 45.3 A^3/atom
E_form = 5.3 eV/f.u.